No. 1
DFT (PBE) results for an optimized crystal structure of Ac3PuPb3.

Output
Size of the total moment   6.7 μB per formula unit
Energy of formation from the pure elements   -6.25 kcal/mol of atoms
Energy   -79.36 eV/cell

a = 7.1238 Å, b = 7.1238 Å, c = 10.4619 Å
α = 90.44°, β = 90.44°, γ = 105.43°
Closest atoms and distances in Å follow each position.
Fractional coordinates of all 14 atoms:
Ac 0.1832 0.8168 0.0000  6 Pb 3.45-3.52
Ac 0.2269 0.7731 0.5000  6 Pb 3.46-3.53, 4 Pu 3.59-3.62
Ac 0.4259 0.4259 0.1974  5 Pb 3.55-3.66, 2 Pu 3.70
Ac 0.5741 0.5741 0.8026  5 Pb 3.55-3.66, 2 Pu 3.70
Ac 0.7731 0.2269 0.5000  6 Pb 3.46-3.53, 4 Pu 3.59-3.62
Ac 0.8168 0.1832 0.0000  6 Pb 3.45-3.52
Pu 0.2926 0.2926 0.5326  4 Pb 3.37-3.56, 6 Ac 3.59-3.70, 1 Pu 3.65
Pu 0.7074 0.7074 0.4674  4 Pb 3.37-3.56, 6 Ac 3.59-3.70, 1 Pu 3.65
Pb 0.0259 0.0259 0.2707  2 Pu 3.46-3.56, 4 Pb 3.47-3.74, 5 Ac 3.52-3.55
Pb 0.0474 0.4750 0.7551  1 Pu 3.37, 6 Ac 3.45-3.66, 2 Pb 3.47-3.74
Pb 0.4750 0.0474 0.7551  1 Pu 3.37, 6 Ac 3.45-3.66, 2 Pb 3.47-3.74
Pb 0.5250 0.9526 0.2449  1 Pu 3.37, 6 Ac 3.45-3.66, 2 Pb 3.47-3.74
Pb 0.9526 0.5250 0.2449  1 Pu 3.37, 6 Ac 3.45-3.66, 2 Pb 3.47-3.74
Pb 0.9741 0.9741 0.7293  2 Pu 3.46-3.56, 4 Pb 3.47-3.74, 5 Ac 3.52-3.55

***

No. 2
DFT (PBE) results for an optimized crystal structure of Ni2Se3.

Output
Size of the total moment   0.0 μB per formula unit
Energy   -23.07 eV/cell
Uncorrected formation energy   -212 meV/atom

a = 8.1449 Å, b = 8.1449 Å, c = 8.1449 Å
α = 25.19°, β = 25.19°, γ = 25.19°
Closest atoms and distances in Å follow each position.
Fractional coordinates of all 5 atoms:
Ni 0.1010 0.1010 0.1010  6 Se 2.36-2.57
Ni 0.8990 0.8990 0.8990  6 Se 2.36-2.57
Se 0.2818 0.2818 0.2818  3 Ni 2.36
Se 0.5000 0.5000 0.5000  6 Ni 2.57
Se 0.7182 0.7182 0.7182  3 Ni 2.36